# Ni3AsSe PBE relaxed
# E_form (uncorrected)   46 kJ per mole of atoms
# Theoretical density   6547 kg/m³
# Fermi-level density of states   1.0829 states/eV/atom
# DFT total energy   -4.62 eV per atom
data_Ni3AsSe
_cell_length_a 4.374
_cell_length_b 4.374
_cell_length_c 4.374
_cell_angle_alpha 90.00
_cell_angle_beta 90.00
_cell_angle_gamma 90.00
_symmetry_space_group_name_H-M 'P 1'
_symmetry_Int_Tables_number 1
loop_
_symmetry_equiv_pos_as_xyz
'x,y,z'
loop_
_atom_site_label
_atom_site_type_symbol
_atom_site_fract_x
_atom_site_fract_y
_atom_site_fract_z
_atom_site_occupancy
Ni1 Ni 0.000 0.000 0.500 1
Ni2 Ni 0.500 0.000 0.000 1
Ni3 Ni 0.000 0.500 0.000 1
Se1 Se 0.000 0.000 0.000 1
As1 As 0.500 0.500 0.500 1